[1]
First-principles (PBE-GGA) data for a relaxed CdSF crystal, as listed in Alexandria.

abc: 4.4022 4.6270 6.8643
angles: 108.81 90.23 90.17
Atoms (fractional coordinates):
S  0.3435  0.8442  0.5589
S  0.9001  0.4800  0.9628
F  0.8202  0.2807  0.4302
F  0.8964  0.1235  0.9703
Cd  0.8412  0.7506  0.3599
Cd  0.4307  0.4146  0.7002

Computed properties:
Relative energy among the computed polymorphs   111.0 meV per atom

***

[2]
First-principles (PBE-GGA) data for a relaxed CdSF crystal, as listed in Alexandria.

abc: 3.6530 6.1121 16.1065
angles: 90.00 90.00 90.00
Atoms (fractional coordinates):
Cd  0.0000  0.9194  0.9970
Cd  0.0000  0.6004  0.3695
Cd  0.0000  0.6906  0.6662
Cd  0.5000  0.3094  0.1662
Cd  0.5000  0.0806  0.4970
Cd  0.5000  0.3996  0.8695
S  0.5000  0.8969  0.2135
S  0.5000  0.0057  0.8937
S  0.0000  0.1031  0.7135
S  0.0000  0.9943  0.3937
S  0.0000  0.2720  0.6062
S  0.5000  0.7280  0.1062
F  0.5000  0.7715  0.5830
F  0.0000  0.2285  0.0830
F  0.0000  0.4221  0.2489
F  0.0000  0.5573  0.9220
F  0.5000  0.4427  0.4220
F  0.5000  0.5779  0.7489

Computed properties:
Relative energy among the computed polymorphs   0.0 meV per atom

***

[3]
First-principles (PBE-GGA) data for a relaxed Cd4SF5 crystal, as listed in Alexandria.

abc: 5.7686 7.2769 8.6044
angles: 90.00 90.00 90.00
Atoms (fractional coordinates):
Cd  0.9857  0.0000  0.7490
Cd  0.5149  0.7151  0.0000
Cd  0.5149  0.2849  0.0000
Cd  0.9857  0.0000  0.2510
Cd  0.0143  0.5000  0.2490
Cd  0.4851  0.7849  0.5000
Cd  0.4851  0.2151  0.5000
Cd  0.0143  0.5000  0.7510
S  0.7561  0.0000  0.0000
S  0.2439  0.5000  0.5000
F  0.2404  0.7631  0.8115
F  0.2404  0.2369  0.8115
F  0.8578  0.5000  0.0000
F  0.2404  0.7631  0.1885
F  0.2404  0.2369  0.1885
F  0.7596  0.7369  0.3115
F  0.7596  0.2631  0.3115
F  0.1422  0.0000  0.5000
F  0.7596  0.2631  0.6885
F  0.7596  0.7369  0.6885

***

Let's list formation energy (no corrections) in order: -1.04 -1.15 -1.67 eV/atom.